# 1
! Al4C3 PBE relaxed; values from VASP
&SYSTEM
  ibrav = 0, nat = 7, ntyp = 2
/
ATOMIC_SPECIES
Al 26.98 Al.upf
C 12.01 C.upf
CELL_PARAMETERS angstrom
4.738 0.000 0.000
0.000 4.738 0.000
0.000 0.000 4.738
ATOMIC_POSITIONS angstrom
Al 1.015 1.015 1.015
Al 1.015 3.723 3.723
Al 3.723 1.015 3.723
Al 3.723 3.723 1.015
C 0.000 0.000 2.369
C 0.000 2.369 0.000
C 2.369 0.000 0.000
! total DFT energy (no corrections)	-40.14	eV for the cell shown
! V	15.19	Å³/atom
! space group	P-43m
! energy above the lowest structure with this stoichiometry	447	meV/atom
! formation energy	0.357	eV/atom



# 2
! PrSmCo3 PBE relaxed; values from VASP
&SYSTEM
  ibrav = 0, nat = 10, ntyp = 3
/
ATOMIC_SPECIES
Pr 140.91 Pr.upf
Sm 150.36 Sm.upf
Co 58.93 Co.upf
CELL_PARAMETERS angstrom
2.079 -12.175 0.000
2.079 12.175 0.000
0.000 0.000 3.924
ATOMIC_POSITIONS angstrom
Pr 2.079 7.282 2.943
Pr 2.079 -7.282 0.981
Sm 2.079 10.525 0.981
Sm 2.079 -10.525 2.943
Co 2.079 3.920 2.943
Co 2.079 2.813 0.981
Co 2.079 0.553 0.981
Co 2.079 -0.553 2.943
Co 2.079 -2.813 2.943
Co 2.079 -3.920 0.981
! total DFT energy (no corrections)	-62.50	eV for the cell shown
! V	19.87	Å³/atom
! space group	Cmcm
! formation energy	-0.087	eV/atom



# 3
! Ac3Pm2Nd5 PBE relaxed; values from VASP
&SYSTEM
  ibrav = 0, nat = 20, ntyp = 3
/
ATOMIC_SPECIES
Ac 227.00 Ac.upf
Pm 145.00 Pm.upf
Nd 144.24 Nd.upf
CELL_PARAMETERS angstrom
-4.992 7.192 5.608
4.992 -7.192 5.608
4.992 7.192 -5.608
ATOMIC_POSITIONS angstrom
Ac 2.454 1.793 0.000
Ac 0.000 0.000 2.804
Ac 2.454 -1.793 5.608
Ac 2.538 8.986 0.000
Ac 0.000 0.000 8.411
Ac 2.538 5.399 5.608
Pm 3.977 -5.188 5.608
Pm 3.977 5.188 0.000
Pm 1.015 2.005 5.608
Pm 1.015 12.380 0.000
Nd 4.992 -3.509 2.804
Nd 5.958 1.706 0.000
Nd 4.992 0.000 2.804
Nd 0.966 5.486 0.000
Nd 4.992 3.509 2.804
Nd 0.000 3.683 2.804
Nd 4.025 1.706 5.608
Nd 0.000 7.192 2.804
Nd -0.966 5.486 5.608
Nd 0.000 10.701 2.804
! total DFT energy (no corrections)	-85.02	eV for the cell shown
! V	40.27	Å³/atom
! space group	Ibam
! formation energy	0.316	eV/atom



# 4
! Cu2TcBr6 PBE relaxed; values from VASP
&SYSTEM
  ibrav = 0, nat = 18, ntyp = 3
/
ATOMIC_SPECIES
Cu 63.55 Cu.upf
Tc 98.00 Tc.upf
Br 79.90 Br.upf
CELL_PARAMETERS angstrom
6.473 0.000 0.000
0.000 7.219 0.000
-6.405 0.000 12.132
ATOMIC_POSITIONS angstrom
Cu -0.401 0.569 1.204
Cu -3.603 3.041 7.270
Cu 3.672 4.178 4.862
Cu 0.469 6.650 10.928
Tc 3.237 0.000 0.000
Tc 0.034 3.609 6.066
Br -4.583 1.239 10.368
Br -1.381 2.370 4.302
Br -4.618 5.102 12.067
Br -1.416 5.726 6.001
Br 1.810 0.975 1.886
Br -1.393 2.635 7.952
Br 1.461 4.584 4.180
Br -1.741 6.244 10.246
Br 1.484 1.493 6.132
Br 4.686 2.117 0.065
Br 1.449 4.848 7.831
Br 4.652 5.980 1.765
! total DFT energy (no corrections)	-63.28	eV for the cell shown
! V	31.50	Å³/atom
! space group	P2_1/c



# 5
! ErCdFe PBE relaxed; values from VASP
&SYSTEM
  ibrav = 0, nat = 6, ntyp = 3
/
ATOMIC_SPECIES
Er 167.26 Er.upf
Cd 112.41 Cd.upf
Fe 55.84 Fe.upf
CELL_PARAMETERS angstrom
6.601 -1.901 0.000
6.601 1.901 0.000
-1.128 0.000 4.908
ATOMIC_POSITIONS angstrom
Er 1.453 0.000 1.627
Er 10.620 0.000 3.281
Cd 5.433 0.000 1.052
Cd 6.641 0.000 3.856
Fe 2.055 0.000 4.435
Fe 10.019 0.000 0.473
! total DFT energy (no corrections)	-28.31	eV for the cell shown
! V	20.53	Å³/atom
! space group	C2/m
! formation energy	-0.072	eV/atom



# 6
! Ho4GaGe2 PBE relaxed; values from VASP
&SYSTEM
  ibrav = 0, nat = 14, ntyp = 3
/
ATOMIC_SPECIES
Ho 164.93 Ho.upf
Ga 69.72 Ga.upf
Ge 72.64 Ge.upf
CELL_PARAMETERS angstrom
-4.411 4.411 4.407
4.411 -4.411 4.407
4.411 4.411 -4.407
ATOMIC_POSITIONS angstrom
Ho 6.011 0.599 0.519
Ho 3.812 2.812 -1.684
Ho 0.599 2.812 -0.519
Ho 0.599 1.600 2.723
Ho 3.812 1.600 3.888
Ho 1.600 -0.599 6.091
Ho 2.812 5.010 1.684
Ho -1.600 3.812 4.926
Ga 0.000 0.000 0.000
Ga 0.000 4.411 2.203
Ge 2.206 -1.126 3.305
Ge 3.286 2.206 1.102
Ge 2.206 5.537 -1.102
Ge 1.126 2.206 5.508
! total DFT energy (no corrections)	-71.00	eV for the cell shown
! V	24.50	Å³/atom
! space group	I-42d
! formation energy	-0.704	eV/atom



# 7
! LuMgCuPt PBE relaxed; values from VASP
&SYSTEM
  ibrav = 0, nat = 4, ntyp = 4
/
ATOMIC_SPECIES
Lu 174.97 Lu.upf
Mg 24.30 Mg.upf
Cu 63.55 Cu.upf
Pt 195.08 Pt.upf
CELL_PARAMETERS angstrom
0.000 3.299 3.299
3.299 0.000 3.299
3.299 3.299 0.000
ATOMIC_POSITIONS angstrom
Lu 0.000 0.000 0.000
Mg 3.299 3.299 3.299
Cu 4.949 4.949 4.949
Pt 1.650 1.650 1.650
! total DFT energy (no corrections)	-19.04	eV for the cell shown
! V	17.96	Å³/atom
! space group	F-43m
! formation energy	-0.696	eV/atom



# 8
! RuPtCS2 PBE relaxed; values from VASP
&SYSTEM
  ibrav = 0, nat = 5, ntyp = 4
/
ATOMIC_SPECIES
Ru 101.07 Ru.upf
Pt 195.08 Pt.upf
C 12.01 C.upf
S 32.06 S.upf
CELL_PARAMETERS angstrom
4.134 0.000 0.000
0.000 4.134 0.000
0.000 0.000 4.028
ATOMIC_POSITIONS angstrom
Ru 0.000 0.000 0.000
Pt 2.067 2.067 0.000
C 2.067 2.067 2.014
S 0.000 2.067 2.014
S 2.067 0.000 2.014
! total DFT energy (no corrections)	-26.47	eV for the cell shown
! V	13.77	Å³/atom
! space group	P4/mmm



The lowest total DFT energy (no corrections) belongs to which entry? Ac3Pm2Nd5